1.
# SrTePb3

SrTePb3 at its PBEsol-relaxed geometry (SCAN, Alexandria).

Output
The size of the total moment is 0.03 μB per cell. Its crystal system is cubic. Its space group is Pm-3m (221). The value obtained for the uncorrected formation energy is 0.8066 eV per atom. The calculation puts the calculated density at 6.46 g/cm³.

Lattice parameters (Å, degrees): 5.993 5.993 5.993 90.00 90.00 90.00
Fractional positions:
Sr 0.000 0.000 0.000
Pb 0.500 0.000 0.000
Pb 0.000 0.000 0.500
Pb 0.000 0.500 0.000
Te 0.500 0.500 0.500

=====

2.
# SrTePb

SrTePb at its PBEsol-relaxed geometry (SCAN, Alexandria).

Output
The size of the total moment is 0.00 μB per cell. Its crystal system is tetragonal. Its space group is I4mm (107). The value obtained for the uncorrected formation energy is -0.8009 eV per atom. The calculation puts the calculated density at 6.81 g/cm³.

Lattice parameters (Å, degrees): 4.276 4.276 6.393 109.54 109.54 90.00
Fractional positions:
Pb 0.019 0.019 0.038
Te 0.293 0.293 0.586
Sr 0.688 0.688 0.376

=====

3.
# SrTiPb3

SrTiPb3 at its PBEsol-relaxed geometry (SCAN, Alexandria).

Output
The size of the total moment is 2.28 μB per cell. Its crystal system is cubic. Its space group is Pm-3m (221). The calculation puts the calculated density at 6.44 g/cm³. The calculated formation energy comes out at 1.06 eV per atom.

Lattice parameters (Å, degrees): 5.800 5.800 5.800 90.00 90.00 90.00
Each line ends with the local moment (μB).
Fractional positions:
Sr 0.000 0.000 0.000  -0.03
Pb 0.500 0.000 0.000  -0.01
Pb 0.000 0.500 0.000  -0.01
Pb 0.000 0.000 0.500  -0.01
Ti 0.500 0.500 0.500  1.95

=====

4.
# SrTlPb

SrTlPb at its PBEsol-relaxed geometry (SCAN, Alexandria).

Output
The size of the total moment is 0.00 μB per cell. Its crystal system is trigonal. Its space group is P3m1 (156). The calculation puts the calculated density at 8.84 g/cm³. The calculated formation energy comes out at -0.52 eV per atom.

Lattice parameters (Å, degrees): 3.960 5.230 5.230 120.00 90.00 90.00
Fractional positions:
Tl 0.293 0.667 0.333
Pb 0.056 0.000 0.000
Sr 0.652 0.333 0.667

=====

5.
# SrTlPb2

SrTlPb2 at its PBEsol-relaxed geometry (SCAN, Alexandria).

Output
The size of the total moment is 0.00 μB per cell. Its crystal system is tetragonal. Its space group is P4/mmm (123). The calculation puts the calculated density at 9.93 g/cm³. The calculated formation energy comes out at -0.45 eV per atom.

Lattice parameters (Å, degrees): 4.910 4.910 4.899 90.00 90.00 90.00
Fractional positions:
Sr 0.500 0.500 0.500
Pb 0.000 0.500 0.000
Pb 0.500 0.000 0.000
Tl 0.000 0.000 0.500

=====

6.
# SrTlPb4

SrTlPb4 at its PBEsol-relaxed geometry (SCAN, Alexandria).

Output
The size of the total moment is 0.00 μB per cell. Its crystal system is cubic. Its space group is F-43m (216). The calculation puts the calculated density at 9.74 g/cm³. The calculated formation energy comes out at -0.27 eV per atom.

Lattice parameters (Å, degrees): 6.464 6.464 6.464 60.00 60.00 60.00
Fractional positions:
Pb 0.873 0.376 0.376
Pb 0.376 0.376 0.376
Pb 0.376 0.376 0.873
Pb 0.376 0.873 0.376
Sr 0.750 0.750 0.750
Tl 0.000 0.000 0.000

=====

7.
# Sr4TlPb

Sr4TlPb at its PBEsol-relaxed geometry (SCAN, Alexandria).

Output
The size of the total moment is 0.26 μB per cell. Its crystal system is cubic. Its space group is F-43m (216). The calculation puts the calculated density at 5.39 g/cm³. The calculated formation energy comes out at 0.22 eV per atom.

Lattice parameters (Å, degrees): 6.924 6.924 6.924 60.00 60.00 60.00
Fractional positions:
Pb 0.000 0.000 0.000
Sr 0.375 0.375 0.876
Sr 0.876 0.375 0.375
Sr 0.375 0.876 0.375
Sr 0.375 0.375 0.375
Tl 0.750 0.750 0.750

=====

8.
# SrTlPb2

SrTlPb2 at its PBEsol-relaxed geometry (SCAN, Alexandria).

Output
The size of the total moment is 0.00 μB per cell. Its crystal system is tetragonal. Its space group is I-4m2 (119). The calculation puts the calculated density at 9.83 g/cm³. The calculated formation energy comes out at -0.42 eV per atom.

Lattice parameters (Å, degrees): 4.917 4.917 6.039 114.03 114.03 90.00
Fractional positions:
Sr 0.500 0.500 0.000
Pb 0.750 0.250 0.500
Pb 0.000 0.000 0.000
Tl 0.250 0.750 0.500

=====

Q: The highest size of the total moment belongs to which entry?
A: SrTiPb3